No. 1
# TlHg2Sb

A relaxed structure of TlHg2Sb (PBEsol, the Alexandria database).

## Properties
- Formation energy from raw total energies: 0.0656 eV/atom
- N(E_F): 0.34 states/eV/atom
- Total magnetic moment: 0.0 μB per formula unit
- Calculated total energy: -2.015 eV per atom
- Theoretical density: 11175 kg/m3

a = 3.6370 Å, b = 4.7474 Å, c = 12.5183 Å
α = 90.00°, β = 90.00°, γ = 90.00°
Space group Imm2 (No. 44)
One atom of each set of equivalent atoms:
Tl1 0.0000 0.0000 0.0000 (multiplicity 2)
Hg1 0.0000 0.0000 0.4338 (multiplicity 2)
Hg2 0.0000 0.5000 0.2174 (multiplicity 2)
Sb1 0.0000 0.5000 0.7208 (multiplicity 2)



No. 2
# TlHg2Sb

A relaxed structure of TlHg2Sb (PBEsol, the Alexandria database).

## Properties
- Formation energy from raw total energies: 0.0491 eV/atom
- N(E_F): 0.36 states/eV/atom
- Total magnetic moment: 0.0 μB per formula unit
- Calculated total energy: -2.031 eV per atom
- Theoretical density: 11723 kg/m3

a = 6.9668 Å, b = 10.0124 Å, c = 3.2011 Å
α = 90.00°, β = 112.67°, γ = 90.00°
Space group C2/m (No. 12)
One atom of each set of equivalent atoms:
Tl1 0.0000 0.0000 0.0000 (multiplicity 2)
Hg1 0.2500 0.2500 0.5000 (multiplicity 4)
Sb1 0.0000 0.5000 0.0000 (multiplicity 2)



No. 3
# HgSbW

A relaxed structure of HgSbW (PBEsol, the Alexandria database).

## Properties
- Formation energy from raw total energies: 0.6926 eV/atom
- N(E_F): 0.60 states/eV/atom
- Total magnetic moment: 0.0 μB per formula unit
- Calculated total energy: -5.618 eV per atom
- Theoretical density: 12867 kg/m3

a = 3.2630 Å, b = 4.8364 Å, c = 16.5581 Å
α = 90.00°, β = 90.00°, γ = 90.00°
Space group Fmm2 (No. 42)
One atom of each set of equivalent atoms:
Hg1 0.0000 0.0000 0.0000 (multiplicity 4)
Sb1 0.0000 0.0000 0.2836 (multiplicity 4)
W1 0.0000 0.0000 0.6483 (multiplicity 4)



No. 4
# Hg2Sb2W

A relaxed structure of Hg2Sb2W (PBEsol, the Alexandria database).

## Properties
- Formation energy from raw total energies: 0.6291 eV/atom
- N(E_F): 0.70 states/eV/atom
- Total magnetic moment: 0.0 μB per formula unit
- Calculated total energy: -4.182 eV per atom
- Theoretical density: 11124 kg/m3

a = 3.6576 Å, b = 3.6576 Å, c = 18.4892 Å
α = 90.00°, β = 90.00°, γ = 90.00°
Space group I4/mmm (No. 139)
One atom of each set of equivalent atoms:
Hg1 0.0000 0.5000 0.2500 (multiplicity 4)
Sb1 0.0000 0.0000 0.0803 (multiplicity 4)
W1 0.0000 0.0000 0.5000 (multiplicity 2)



No. 5
# Hg2SbW

A relaxed structure of Hg2SbW (PBEsol, the Alexandria database).

## Properties
- Formation energy from raw total energies: 0.6481 eV/atom
- N(E_F): 0.72 states/eV/atom
- Total magnetic moment: 0.0 μB per formula unit
- Calculated total energy: -4.227 eV per atom
- Theoretical density: 14188 kg/m3

a = 3.0253 Å, b = 3.0253 Å, c = 31.3097 Å
α = 90.00°, β = 90.00°, γ = 120.00°
Space group R-3m (No. 166, hexagonal axes)
One atom of each set of equivalent atoms:
Hg1 0.0000 0.0000 0.2413 (multiplicity 6)
Sb1 0.0000 0.0000 0.0000 (multiplicity 3)
W1 0.0000 0.0000 0.5000 (multiplicity 3)



No. 6
# Hg2SbW

A relaxed structure of Hg2SbW (PBEsol, the Alexandria database).

## Properties
- Formation energy from raw total energies: 0.6792 eV/atom
- N(E_F): 0.69 states/eV/atom
- Total magnetic moment: 0.0 μB per formula unit
- Calculated total energy: -4.195 eV per atom
- Theoretical density: 14410 kg/m3

a = 5.5369 Å, b = 10.7292 Å, c = 3.2116 Å
α = 90.00°, β = 121.37°, γ = 90.00°
Space group C2/m (No. 12)
One atom of each set of equivalent atoms:
Hg1 0.2500 0.2500 0.0000 (multiplicity 4)
Sb1 0.0000 0.0000 0.0000 (multiplicity 2)
W1 0.0000 0.5000 0.0000 (multiplicity 2)



| no. | calculated volume (Å³/cell) |
| --- | --- |
| 1 | 216.14 |
| 2 | 206.04 |
| 3 | 261.30 |
| 4 | 247.35 |
| 5 | 248.17 |
| 6 | 162.89 |